# 1
PBE-GGA La8Ru3Br4N, relaxed; crystal system = monoclinic; uncorrected formation energy = -16.633 eV/f.u.; M_tot = 0.00 μB per cell
1.0
8.149 0.000 0.000
0.000 9.184 0.707
-4.074 -4.065 5.774
Ru N Br La
3 1 4 8
Cartesian
-2.037 2.559 3.241
4.074 4.592 0.354
2.037 2.559 3.241
0.000 4.592 0.354
2.037 -2.033 2.887
0.000 0.000 0.000
-2.037 -2.033 2.887
4.074 0.000 0.000
4.074 4.571 3.219
1.942 2.757 0.431
0.000 0.547 3.262
2.132 2.361 6.051
4.074 0.635 3.442
6.206 2.757 0.431
0.000 4.484 3.039
-2.132 2.361 6.051


# 2
PBE-GGA Tb12Zn2In5, relaxed; calculated formation energy = -0.207 eV per atom; crystal system = monoclinic; M_tot = 0.00 μB per cell
1.0
7.079 0.000 0.000
-3.539 8.408 1.837
0.000 -0.780 9.031
Zn Tb In
2 12 5
Cartesian
2.347 0.000 0.000
4.732 0.000 0.000
1.767 5.437 5.923
0.000 7.793 8.085
3.539 -0.166 2.782
3.539 7.677 3.361
5.346 2.585 1.195
5.306 2.190 4.944
-1.767 5.437 5.923
-1.807 5.043 9.673
0.000 -0.050 7.506
1.733 2.585 1.195
1.807 5.043 9.673
1.773 2.190 4.944
0.000 3.207 7.647
0.000 -0.390 4.516
3.539 4.421 3.221
0.000 4.833 3.254
3.539 2.795 7.614